#1
4
Lattice="3.7607 0.0000 0.0000 0.0000 3.7607 0.0000 0.0000 0.0000 6.9576" Properties=species:S:1:pos:R:3 comment="LaTe2W GGA-PBEsol optimized geometry" total_magnetization_mub_per_fu=0.00 mass_density_g_cm3=9.75 pbc="T T T"
La 1.8803 1.8803 5.2846
Te 0.0000 0.0000 0.0145
Te 1.8803 1.8803 2.0592
W 0.0000 0.0000 3.0781

=====

#2
4
Lattice="-3.8182 -0.0195 2.2739 -1.0297 -3.4659 2.5839 1.0479 1.3979 6.1142" Properties=species:S:1:pos:R:3 comment="LaTe2W GGA-PBEsol optimized geometry" total_magnetization_mub_per_fu=0.07 mass_density_g_cm3=9.64 pbc="T T T"
La -1.9000 -1.0438 5.4860
Te -2.6854 -1.4075 8.5068
Te -1.1146 -0.6801 2.4652
W 0.0000 0.0000 0.0000

=====

Computed stability ranking, most favorable first: #2, #1

=====

#1
4
Lattice="-4.2351 -0.3847 1.1769 1.2313 -0.8279 4.1600 -0.2006 6.1135 1.2761" Properties=species:S:1:pos:R:3 comment="LaYTe2 GGA-PBEsol optimized geometry" total_magnetization_mub_per_fu=0.00 mass_density_g_cm3=6.59 pbc="T T T"
Y -1.5881 -0.1442 0.4413
Te -3.0899 -0.7505 3.1098
Te -1.6886 2.9125 1.0794
La -3.1904 2.3062 3.7479

=====

#2
4
Lattice="4.3631 0.0000 0.0000 2.1816 3.7786 0.0000 2.1816 1.2595 7.3293" Properties=species:S:1:pos:R:3 comment="LaYTe2 GGA-PBEsol optimized geometry" total_magnetization_mub_per_fu=0.00 mass_density_g_cm3=6.64 pbc="T T T"
Y 4.3631 2.5190 3.6646
Te 6.5447 3.7786 5.3757
Te 2.1816 1.2595 1.9536
La 0.0000 0.0000 0.0000

=====

#3
4
Lattice="4.0678 0.0000 0.0000 0.0000 4.1199 0.0000 -2.0339 -2.0600 7.2867" Properties=species:S:1:pos:R:3 comment="LaYTe2 GGA-PBEsol optimized geometry" total_magnetization_mub_per_fu=1.01 mass_density_g_cm3=6.57 pbc="T T T"
Y 0.0000 0.0000 6.6671
Te 0.0000 0.0000 0.5310
Te 2.0339 0.0000 4.3790
La 0.0000 2.0600 2.9963

=====

#4
4
Lattice="-3.1730 2.7371 -0.3912 -2.3767 0.9577 3.3387 4.2235 8.5885 3.1956" Properties=species:S:1:pos:R:3 comment="LaYTe2 GGA-PBEsol optimized geometry" total_magnetization_mub_per_fu=0.00 mass_density_g_cm3=5.34 pbc="T T T"
Y -0.6631 6.1416 3.0716
Te -3.6266 6.0242 3.6483
Te 2.3005 6.2591 2.4949
La 0.0000 0.0000 0.0000

=====

Computed stability ranking, most favorable first: #2, #1, #3, #4

=====

#1
5
Lattice="-3.4763 -3.6598 -0.1455 3.2780 -3.0192 -2.3747 1.6341 -1.7292 4.4542" Properties=species:S:1:pos:R:3 comment="LaZr3Ti GGA-PBEsol optimized geometry" total_magnetization_mub_per_fu=0.00 mass_density_g_cm3=5.94 pbc="T T T"
Ti 0.0000 0.0000 0.0000
Zr 1.6390 -1.5096 -1.1873
Zr 0.8170 -0.8646 2.2271
Zr -1.7381 -1.8299 -0.0727
La 0.7179 -4.2041 0.9670

=====

#2
5
Lattice="-3.1454 1.3878 -3.6812 -1.5907 -4.7593 -0.4350 -3.5982 0.8909 3.4103" Properties=species:S:1:pos:R:3 comment="LaZr3Ti GGA-PBEsol optimized geometry" total_magnetization_mub_per_fu=1.25 mass_density_g_cm3=5.98 pbc="T T T"
Ti -4.1672 -1.2403 -0.3530
Zr -0.7954 -2.3797 -0.2175
Zr -1.7991 0.4454 1.7052
Zr -1.5727 0.6939 -1.8406
La 0.0000 0.0000 0.0000

=====

Computed stability ranking, most favorable first: #1, #2

=====

#1
16
Lattice="6.2568 0.0000 0.0000 3.1284 8.6368 0.0000 3.1284 0.0000 8.6368" Properties=species:S:1:pos:R:3 comment="La3Tl5 GGA-PBEsol optimized geometry" total_magnetization_mub_per_fu=0.00 mass_density_g_cm3=10.24 pbc="T T T"
La 1.5642 0.0000 0.0000
La 4.6926 0.0000 0.0000
La 9.3851 4.3184 7.1826
La 3.1284 4.3184 1.4542
La 6.2568 7.1826 4.3184
La 6.2568 1.4542 4.3184
Tl 4.6926 4.3184 4.3184
Tl 7.8210 4.3184 4.3184
Tl 9.3852 7.3294 2.7119
Tl 3.1284 1.3074 5.9249
Tl 6.2568 2.7119 7.3294
Tl 6.2568 5.9249 1.3074
Tl 9.3851 7.3294 5.9249
Tl 3.1284 1.3074 2.7119
Tl 6.2568 2.7119 1.3074
Tl 6.2568 5.9249 7.3294

=====

#2
8
Lattice="5.0087 0.0000 0.0000 0.0000 6.7959 -0.0042 0.0000 -0.7391 6.7556" Properties=species:S:1:pos:R:3 comment="La3Tl5 GGA-PBEsol optimized geometry" total_magnetization_mub_per_fu=0.00 mass_density_g_cm3=10.39 pbc="T T T"
La 0.0000 3.0284 3.3757
La 2.5044 5.1276 1.4925
La 2.5044 0.9292 5.2590
Tl 0.0000 0.0000 0.0000
Tl 0.0000 -0.3695 3.3778
Tl 0.0000 3.3980 -0.0021
Tl 2.5044 1.6214 1.8073
Tl 2.5044 4.4355 4.9441

=====

Computed stability ranking, most favorable first: #2, #1

=====

#1
4
Lattice="3.0696 -0.0219 0.0000 -1.0731 2.8760 0.0000 0.0000 0.0000 10.3663" Properties=species:S:1:pos:R:3 comment="LaTl2W GGA-PBEsol optimized geometry" total_magnetization_mub_per_fu=0.00 mass_density_g_cm3=13.31 pbc="T T T"
La 0.9982 1.4271 0.0000
Tl 0.0000 0.0000 2.8627
Tl 0.0000 0.0000 7.5036
W 0.9982 1.4271 5.1831

=====

#2
4
Lattice="3.0944 0.0000 0.0000 0.0000 4.3440 0.0000 0.0000 0.0000 6.8106" Properties=species:S:1:pos:R:3 comment="LaTl2W GGA-PBEsol optimized geometry" total_magnetization_mub_per_fu=0.00 mass_density_g_cm3=13.27 pbc="T T T"
La 1.5472 2.1720 3.4053
Tl 0.0000 0.0000 5.3504
Tl 0.0000 0.0000 1.4602
W 1.5472 2.1720 0.0000

=====

Computed stability ranking, most favorable first: #2, #1

=====

#1
4
Lattice="-2.2283 -4.6563 -0.3030 2.2318 -4.0856 2.2504 -2.1351 -2.1229 4.2039" Properties=species:S:1:pos:R:3 comment="LaTl2W GGA-PBEsol optimized geometry" total_magnetization_mub_per_fu=2.57 mass_density_g_cm3=12.43 pbc="T T T"
La -1.0658 -5.4324 3.0757
Tl 0.0000 0.0000 0.0000
Tl -1.5987 -8.1486 4.6135
W -0.5329 -2.7162 1.5378

=====

#2
4
Lattice="-1.9349 0.8559 2.1704 -4.1932 -3.1788 -2.4845 3.2455 -2.7431 3.9752" Properties=species:S:1:pos:R:3 comment="LaTl2W GGA-PBEsol optimized geometry" total_magnetization_mub_per_fu=0.01 mass_density_g_cm3=13.15 pbc="T T T"
La -1.4412 -2.5330 1.8305
Tl -2.0966 -1.5894 -1.2423
Tl 1.6228 -1.3716 1.9876
W -0.9674 0.4280 1.0852

=====

Computed stability ranking, most favorable first: #2, #1

=====

#1
4
Lattice="-4.7726 1.2386 -2.3176 -0.6831 -0.6826 -5.3619 -3.2416 -3.9691 -1.8496" Properties=species:S:1:pos:R:3 comment="La2ZrTl GGA-PBEsol optimized geometry" total_magnetization_mub_per_fu=1.70 mass_density_g_cm3=8.33 pbc="T T T"
La -2.1743 -0.8533 -2.3823
La -6.5230 -2.5598 -7.1468
Tl 0.0000 0.0000 0.0000
Zr -4.3487 -1.7065 -4.7646

=====

#2
4
Lattice="-3.4184 -0.6372 -0.2738 0.1798 -3.0334 4.8131 -1.1174 4.7029 3.0056" Properties=species:S:1:pos:R:3 comment="La2ZrTl GGA-PBEsol optimized geometry" total_magnetization_mub_per_fu=0.00 mass_density_g_cm3=8.43 pbc="T T T"
La -0.5587 2.3514 1.5028
La 0.0899 -1.5167 2.4065
Tl -2.1780 0.5162 3.7724
Zr -1.7092 -0.3186 -0.1369

=====

#3
4
Lattice="3.5515 0.0000 0.0000 0.0000 3.5515 0.0000 0.0000 0.0000 8.6571" Properties=species:S:1:pos:R:3 comment="La2ZrTl GGA-PBEsol optimized geometry" total_magnetization_mub_per_fu=0.00 mass_density_g_cm3=8.72 pbc="T T T"
La 0.0000 0.0000 8.4868
La 1.7757 1.7757 2.2991
Tl 0.0000 0.0000 4.5395
Zr 1.7757 1.7757 6.3174

=====

Computed stability ranking, most favorable first: #3, #2, #1

=====

#1
4
Lattice="-2.4284 -1.3474 -0.5579 1.4815 -1.3351 2.0117 -4.5015 5.2875 6.8241" Properties=species:S:1:pos:R:3 comment="LaW3 GGA-PBEsol optimized geometry" total_magnetization_mub_per_fu=0.00 mass_density_g_cm3=15.76 pbc="T T T"
La 0.0000 0.0000 0.0000
W -2.2507 2.6437 3.4121
W -1.7411 0.1478 2.6486
W -3.7073 2.4573 5.6293

=====

#2
4
Lattice="-0.4740 -2.5849 -1.1652 1.6237 1.9254 -1.3857 8.2877 -3.6260 4.6729" Properties=species:S:1:pos:R:3 comment="LaW3 GGA-PBEsol optimized geometry" total_magnetization_mub_per_fu=0.00 mass_density_g_cm3=15.73 pbc="T T T"
La 0.0000 0.0000 0.0000
W 4.1439 -1.8130 2.3364
W 6.2316 -3.7093 2.1478
W 2.5067 -2.0796 0.0476

=====

Computed stability ranking, most favorable first: #1, #2